Compound: PdPbO3
Source: the Open Quantum Materials Database
Functional: PBE
Structure: relaxed

Cell: 5.5008 5.5008 16.2132 Å, 90.00 90.00 120.00°
Space group R-3 (No. 148, hexagonal axes)
Asymmetric unit:
Pd  0.0000  0.0000  0.1648 [6 per cell]
Pb  0.0000  0.0000  0.3715 [6 per cell]
O  0.0039  0.3758  0.4327 [18 per cell]

calculated total energy	-161.5	eV for the cell shown